No. 1
Entry from OQMD: an optimized crystal structure of ErBiN2O (PBE-GGA).

Geometry as POSCAR:
```
ErBiN2O
1.0
9.101 0.000 0.000
0.000 6.949 0.000
-7.651 0.000 9.059
Er Bi N O
8 8 16 8
Direct
0.091 0.010 0.174
0.091 0.490 0.674
0.121 0.513 0.183
0.121 0.987 0.683
0.879 0.013 0.317
0.879 0.487 0.817
0.909 0.510 0.326
0.909 0.990 0.826
0.356 0.245 0.099
0.356 0.255 0.599
0.358 0.739 0.007
0.358 0.761 0.507
0.642 0.239 0.493
0.642 0.261 0.993
0.644 0.745 0.401
0.644 0.755 0.901
0.214 0.513 0.024
0.214 0.987 0.524
0.244 0.018 0.946
0.244 0.482 0.446
0.355 0.246 0.280
0.355 0.254 0.780
0.356 0.714 0.824
0.356 0.786 0.324
0.644 0.214 0.676
0.644 0.286 0.176
0.645 0.746 0.220
0.645 0.754 0.720
0.756 0.518 0.554
0.756 0.982 0.054
0.786 0.013 0.476
0.786 0.487 0.976
0.014 0.214 0.997
0.014 0.286 0.497
0.018 0.745 0.767
0.018 0.755 0.267
0.982 0.245 0.733
0.982 0.255 0.233
0.986 0.714 0.503
0.986 0.786 0.003
```

## Properties
- SG = P2_1/c
- VASP energy (eV/atom) = -6.75

***

No. 2
Entry from OQMD: an optimized crystal structure of ErBiN2O (PBE-GGA).

Geometry as POSCAR:
```
ErBiN2O
1.0
4.189 0.000 0.000
0.000 4.189 0.000
0.000 0.000 4.130
Er Bi N O
1 1 2 1
Direct
0.000 0.000 0.000
0.500 0.500 0.500
0.000 0.500 0.500
0.500 0.000 0.500
0.500 0.500 0.000
```

## Properties
- SG = P4/mmm
- VASP energy (eV/atom) = -6.06

***

No. 3
Entry from OQMD: an optimized crystal structure of ErBiN2O (PBE-GGA).

Geometry as POSCAR:
```
ErBiN2O
1.0
6.606 0.000 0.000
-3.303 5.721 0.000
0.000 0.000 12.128
Er Bi N O
6 6 12 6
Direct
0.000 0.000 0.000
0.000 0.000 0.500
0.333 0.667 0.470
0.333 0.667 0.970
0.667 0.333 0.470
0.667 0.333 0.970
0.000 0.333 0.234
0.000 0.667 0.734
0.333 0.000 0.234
0.333 0.333 0.734
0.667 0.000 0.734
0.667 0.667 0.234
0.000 0.308 0.403
0.000 0.362 0.067
0.000 0.638 0.567
0.000 0.692 0.903
0.308 0.000 0.403
0.308 0.308 0.903
0.362 0.000 0.067
0.362 0.362 0.567
0.638 0.000 0.567
0.638 0.638 0.067
0.692 0.000 0.903
0.692 0.692 0.403
0.000 0.000 0.199
0.000 0.000 0.699
0.333 0.667 0.266
0.333 0.667 0.766
0.667 0.333 0.266
0.667 0.333 0.766
```

## Properties
- SG = P6_3cm
- VASP energy (eV/atom) = -6.62